# PBE LaDy3Tm2, relaxed
data_LaDy3Tm2
_chemical_formula_sum 'La2 Dy6 Tm4'
_cell_length_a 3.443
_cell_length_b 5.889
_cell_length_c 19.530
_cell_angle_alpha 90.00
_cell_angle_beta 90.00
_cell_angle_gamma 90.00
_symmetry_space_group_name_H-M 'I m m m'
_symmetry_Int_Tables_number 71
_symmetry_space_group_name_Hall '-I 2 2'
loop_
_atom_site_label
_atom_site_type_symbol
_atom_site_fract_x
_atom_site_fract_y
_atom_site_fract_z
La1 La 0.000 0.000 0.000
Dy1 Dy 0.000 0.000 0.194
Dy2 Dy 0.000 0.500 0.000
Tm1 Tm 0.000 0.000 0.361
# **ρ**: 8.086 g cm⁻³
# **Energy of formation from the pure elements**: 2.1 eV/f.u.
# **Relative energy among the computed polymorphs**: 326 meV/atom
# **Spin magnetization**: 0.01 μB/f.u.

# PBE La3DyTm4, relaxed
data_La3DyTm4
_chemical_formula_sum 'La6 Dy2 Tm8'
_cell_length_a 3.486
_cell_length_b 11.748
_cell_length_c 13.067
_cell_angle_alpha 90.00
_cell_angle_beta 90.00
_cell_angle_gamma 90.00
_symmetry_space_group_name_H-M 'I m m m'
_symmetry_Int_Tables_number 71
_symmetry_space_group_name_Hall '-I 2 2'
loop_
_atom_site_label
_atom_site_type_symbol
_atom_site_fract_x
_atom_site_fract_y
_atom_site_fract_z
La1 La 0.000 0.000 0.000
La2 La 0.000 0.500 0.245
Dy1 Dy 0.000 0.000 0.500
Tm1 Tm 0.000 0.245 0.365
# **ρ**: 7.788 g cm⁻³
# **Energy of formation from the pure elements**: 1.2 eV/f.u.
# **Relative energy among the computed polymorphs**: 114 meV/atom
# **Spin magnetization**: 0.00 μB/f.u.

# PBE LaDyTm4, relaxed
data_LaDyTm4
_chemical_formula_sum 'La4 Dy4 Tm16'
_cell_length_a 9.298
_cell_length_b 9.298
_cell_length_c 9.298
_cell_angle_alpha 90.00
_cell_angle_beta 90.00
_cell_angle_gamma 90.00
_symmetry_space_group_name_H-M 'F -4 3 m'
_symmetry_Int_Tables_number 216
_symmetry_space_group_name_Hall 'F -4 2 3'
loop_
_atom_site_label
_atom_site_type_symbol
_atom_site_fract_x
_atom_site_fract_y
_atom_site_fract_z
La1 La 0.000 0.000 0.000
Dy1 Dy 0.250 0.250 0.750
Tm1 Tm 0.124 0.124 0.376
# **ρ**: 8.073 g cm⁻³
# **Energy of formation from the pure elements**: 1.7 eV/f.u.
# **Relative energy among the computed polymorphs**: 200 meV/atom
# **Spin magnetization**: 1.83 μB/f.u.

# PBE La6Dy2Tm, relaxed
data_La6Dy2Tm
_chemical_formula_sum 'La12 Dy4 Tm2'
_cell_length_a 9.494
_cell_length_b 17.871
_cell_length_c 3.696
_cell_angle_alpha 90.00
_cell_angle_beta 90.00
_cell_angle_gamma 90.00
_symmetry_space_group_name_H-M 'C m m m'
_symmetry_Int_Tables_number 65
_symmetry_space_group_name_Hall '-C 2 2'
loop_
_atom_site_label
_atom_site_type_symbol
_atom_site_fract_x
_atom_site_fract_y
_atom_site_fract_z
La1 La 0.171 0.166 0.000
La2 La 0.180 0.000 0.500
Dy1 Dy 0.000 0.329 0.500
Tm1 Tm 0.000 0.500 0.000
# **ρ**: 7.029 g cm⁻³
# **Energy of formation from the pure elements**: 1.1 eV/f.u.
# **Spin magnetization**: 0.00 μB/f.u.

# PBE La5Dy3Tm2, relaxed
data_La5Dy3Tm2
_chemical_formula_sum 'La20 Dy12 Tm8'
_cell_length_a 10.853
_cell_length_b 14.879
_cell_length_c 10.160
_cell_angle_alpha 90.00
_cell_angle_beta 122.23
_cell_angle_gamma 90.00
_symmetry_space_group_name_H-M 'C 1 2/c 1'
_symmetry_Int_Tables_number 15
loop_
_symmetry_equiv_pos_as_xyz
'x,y,z'
'-x,-y,-z'
'-x,y,-z+1/2'
'x,-y,z+1/2'
'x+1/2,y+1/2,z'
'-x+1/2,-y+1/2,-z'
'-x+1/2,y+1/2,-z+1/2'
'x+1/2,-y+1/2,z+1/2'
loop_
_atom_site_label
_atom_site_type_symbol
_atom_site_fract_x
_atom_site_fract_y
_atom_site_fract_z
La1 La 0.000 0.017 0.250
La2 La 0.000 0.226 0.250
La3 La 0.000 0.475 0.750
La4 La 0.248 0.369 0.242
Dy1 Dy 0.000 0.269 0.750
Dy2 Dy 0.155 0.374 0.559
Tm1 Tm 0.156 0.130 0.062
# **ρ**: 7.275 g cm⁻³
# **Energy of formation from the pure elements**: 1.6 eV/f.u.
# **Spin magnetization**: 0.00 μB/f.u.

# PBE LaDy2Tm7, relaxed
data_LaDy2Tm7
_chemical_formula_sum 'La1 Dy2 Tm7'
_cell_length_a 6.103
_cell_length_b 7.049
_cell_length_c 7.877
_cell_angle_alpha 77.10
_cell_angle_beta 75.13
_cell_angle_gamma 73.26
_symmetry_space_group_name_H-M 'P -1'
_symmetry_Int_Tables_number 2
loop_
_symmetry_equiv_pos_as_xyz
'x,y,z'
'-x,-y,-z'
loop_
_atom_site_label
_atom_site_type_symbol
_atom_site_fract_x
_atom_site_fract_y
_atom_site_fract_z
La1 La 0.000 0.000 0.000
Dy1 Dy 0.200 0.301 0.598
Tm1 Tm 0.000 0.500 0.000
Tm2 Tm 0.201 0.799 0.599
Tm3 Tm 0.400 0.100 0.202
Tm4 Tm 0.402 0.598 0.202
# **ρ**: 8.832 g cm⁻³
# **Energy of formation from the pure elements**: 0.3 eV/f.u.
# **Relative energy among the computed polymorphs**: 0 meV/atom
# **Spin magnetization**: 0.00 μB/f.u.

Q: The highest energy of formation from the pure elements belongs to which entry?
A: LaDy3Tm2